Compound: Co2RuSe
Source: Alexandria via LeMat-Bulk
Functional: GGA-PBE
Structure: optimized geometry

## Properties
D(E_F): 6.834 states/eV per cell
raw total energy: -6.06 eV/atom
space-group type: No. 122
formation energy without anion corrections: 0.682 eV per atom

Geometry as POSCAR:
```
Co2RuSe
1.0
-2.680 2.680 4.979
2.680 -2.680 4.979
2.680 2.680 -4.979
Co Ru Se
4 2 2
direct
0.121 0.625 0.996
0.375 0.371 0.496
0.629 0.125 0.004
0.875 0.879 0.504
0.000 0.000 0.000
0.750 0.250 0.500
0.250 0.750 0.500
0.500 0.500 0.000
```



Compound: Co2RuSe
Source: Alexandria via LeMat-Bulk
Functional: GGA-PBE
Structure: optimized geometry

## Properties
D(E_F): 5.658 states/eV per cell
raw total energy: -6.48 eV/atom
space-group type: No. 99
formation energy without anion corrections: 0.266 eV per atom

Geometry as POSCAR:
```
Co2RuSe
1.0
3.038 0.000 0.000
0.000 3.038 0.000
0.000 0.000 5.748
Co Ru Se
2 1 1
direct
0.000 0.000 0.000
0.500 0.500 0.203
0.000 0.000 0.476
0.500 0.500 0.731
```



Compound: Co2RuSe
Source: Alexandria via LeMat-Bulk
Functional: GGA-PBE
Structure: optimized geometry

## Properties
D(E_F): 5.670 states/eV per cell
raw total energy: -6.30 eV/atom
space-group type: No. 12
formation energy without anion corrections: 0.447 eV per atom

Geometry as POSCAR:
```
Co2RuSe
1.0
2.537 -4.325 0.000
2.537 4.325 0.000
-1.480 0.000 2.468
Co Ru Se
2 1 1
direct
0.000 0.500 0.000
0.500 0.000 0.000
0.000 0.000 0.500
0.500 0.500 0.500
```